The following is a GGA-PBEsol calculation of crystalline BiAs2SeF at its relaxed geometry, from Alexandria via LeMat-Bulk.

Calculated values
- Formation energy (no corrections): 0.09 eV per atom
- Space-group type: No. 123
- Size of the total moment: 0.00 Bohr magnetons per cell

Cell and atoms, written as extended XYZ:
```
5
Lattice="4.385 0.000 0.000 0.000 4.385 0.000 0.000 0.000 5.295" Properties=species:S:1:pos:R:3 pbc="T T T"
Bi 0.000 0.000 0.000
As 0.000 2.192 2.647
As 2.192 0.000 2.647
Se 2.192 2.192 0.000
F 2.192 2.192 2.647
```